1.
Crystalline Zn7Cu5Pt at its relaxed geometry, computed with GGA-PBE.

Geometry as CIF:
```
data_Zn7Cu5Pt
_chemical_formula_sum 'Zn14 Cu10 Pt2'
_cell_length_a 4.994
_cell_length_b 8.592
_cell_length_c 8.557
_cell_angle_alpha 90.00
_cell_angle_beta 90.00
_cell_angle_gamma 90.00
_space_group_name_H-M_alt 'I m m 2'
_space_group_IT_number 44
loop_
_space_group_symop_operation_xyz
'x,y,z'
'-x,-y,z'
'-x,y,z'
'x,-y,z'
'x+1/2,y+1/2,z+1/2'
'-x+1/2,-y+1/2,z+1/2'
'-x+1/2,y+1/2,z+1/2'
'x+1/2,-y+1/2,z+1/2'
loop_
_atom_site_label
_atom_site_type_symbol
_atom_site_fract_x
_atom_site_fract_y
_atom_site_fract_z
_atom_site_occupancy
Zn1 Zn 0.000 0.000 0.000 1
Zn2 Zn 0.000 0.000 0.360 1
Zn3 Zn 0.000 0.314 0.604 1
Zn4 Zn 0.000 0.338 0.099 1
Zn5 Zn 0.000 0.500 0.357 1
Cu1 Cu 0.000 0.500 0.838 1
Cu2 Cu 0.244 0.243 0.853 1
Pt1 Pt 0.000 0.000 0.674 1
```

E_tot   -2.822 eV/atom
Density   8781 kg/m³
Total magnetic moment   0.000 μB per atom
DOS(E_F)   2.89 states/eV/f.u.
E_form   -0.096 eV/atom



2.
Crystalline ZnCuPt at its relaxed geometry, computed with GGA-PBE.

Geometry as CIF:
```
data_ZnCuPt
_chemical_formula_sum 'Zn16 Cu16 Pt16'
_cell_length_a 5.292
_cell_length_b 10.881
_cell_length_c 13.746
_cell_angle_alpha 90.00
_cell_angle_beta 90.00
_cell_angle_gamma 90.00
_space_group_name_H-M_alt 'F d d d'
_space_group_IT_number 70
loop_
_space_group_symop_operation_xyz
'x,y,z'
'-x,-y,-z'
'-x+1/4,-y+1/4,z'
'x+1/4,y+1/4,-z'
'x,-y+1/4,-z+1/4'
'-x,y+1/4,z+1/4'
'-x+1/4,y,-z+1/4'
'x+1/4,-y,z+1/4'
'x,y+1/2,z+1/2'
'-x,-y+1/2,-z+1/2'
'-x+1/4,-y+3/4,z+1/2'
'x+1/4,y+3/4,-z+1/2'
'x,-y+3/4,-z+3/4'
'-x,y+3/4,z+3/4'
'-x+1/4,y+1/2,-z+3/4'
'x+1/4,-y+1/2,z+3/4'
'x+1/2,y,z+1/2'
'-x+1/2,-y,-z+1/2'
'-x+3/4,-y+1/4,z+1/2'
'x+3/4,y+1/4,-z+1/2'
'x+1/2,-y+1/4,-z+3/4'
'-x+1/2,y+1/4,z+3/4'
'-x+3/4,y,-z+3/4'
'x+3/4,-y,z+3/4'
'x+1/2,y+1/2,z'
'-x+1/2,-y+1/2,-z'
'-x+3/4,-y+3/4,z'
'x+3/4,y+3/4,-z'
'x+1/2,-y+3/4,-z+1/4'
'-x+1/2,y+3/4,z+1/4'
'-x+3/4,y+1/2,-z+1/4'
'x+3/4,-y+1/2,z+1/4'
loop_
_atom_site_label
_atom_site_type_symbol
_atom_site_fract_x
_atom_site_fract_y
_atom_site_fract_z
_atom_site_occupancy
Zn1 Zn 0.125 0.125 0.032 1
Cu1 Cu 0.000 0.000 0.500 1
Pt1 Pt 0.125 0.331 0.125 1
```

E_tot   -3.882 eV/atom
Offset from the most stable computed form   259 meV per atom
Density   10877 kg/m³
Total magnetic moment   0.000 μB per atom
DOS(E_F)   1.79 states/eV/f.u.
E_form   -0.078 eV/atom



3.
Crystalline Zn4Cu5Pt at its relaxed geometry, computed with GGA-PBE.

Geometry as CIF:
```
data_Zn4Cu5Pt
_chemical_formula_sum 'Zn8 Cu10 Pt2'
_cell_length_a 7.497
_cell_length_b 8.566
_cell_length_c 4.410
_cell_angle_alpha 90.00
_cell_angle_beta 90.00
_cell_angle_gamma 90.00
_space_group_name_H-M_alt 'P m m n'
_space_group_IT_number 59
loop_
_space_group_symop_operation_xyz
'x,y,z'
'-x,-y,-z'
'-x+1/2,-y+1/2,z'
'x+1/2,y+1/2,-z'
'x+1/2,-y,-z'
'-x+1/2,y,z'
'-x,y+1/2,-z'
'x,-y+1/2,z'
loop_
_atom_site_label
_atom_site_type_symbol
_atom_site_fract_x
_atom_site_fract_y
_atom_site_fract_z
_atom_site_occupancy
Zn1 Zn 0.052 0.250 0.026 1
Zn2 Zn 0.250 0.554 0.241 1
Cu1 Cu 0.082 0.503 0.744 1
Cu2 Cu 0.250 0.750 0.705 1
Pt1 Pt 0.250 0.250 0.525 1
```

E_tot   -3.213 eV/atom
Offset from the most stable computed form   119 meV per atom
Density   9081 kg/m³
Total magnetic moment   0.000 μB per atom
DOS(E_F)   3.97 states/eV/f.u.
E_form   -0.051 eV/atom



4.
Crystalline Zn2Cu7Pt at its relaxed geometry, computed with GGA-PBE.

Geometry as CIF:
```
data_Zn2Cu7Pt
_chemical_formula_sum 'Zn4 Cu14 Pt2'
_cell_length_a 6.667
_cell_length_b 12.884
_cell_length_c 3.828
_cell_angle_alpha 90.00
_cell_angle_beta 90.00
_cell_angle_gamma 90.00
_space_group_name_H-M_alt 'C m m m'
_space_group_IT_number 65
_space_group_name_Hall '-C 2 2'
loop_
_atom_site_label
_atom_site_type_symbol
_atom_site_fract_x
_atom_site_fract_y
_atom_site_fract_z
_atom_site_occupancy
Zn1 Zn 0.000 0.195 0.000 1
Cu1 Cu 0.000 0.000 0.000 1
Cu2 Cu 0.000 0.307 0.500 1
Cu3 Cu 0.184 0.398 0.000 1
Pt1 Pt 0.000 0.500 0.500 1
```

E_tot   -3.418 eV/atom
Density   7784 kg/m³
Total magnetic moment   0.000 μB per atom
DOS(E_F)   2.76 states/eV/f.u.
E_form   0.308 eV/atom



5.
Crystalline ZnCuPt at its relaxed geometry, computed with GGA-PBE.

Geometry as CIF:
```
data_ZnCuPt
_chemical_formula_sum 'Zn1 Cu1 Pt1'
_cell_length_a 4.281
_cell_length_b 2.823
_cell_length_c 4.285
_cell_angle_alpha 90.00
_cell_angle_beta 91.46
_cell_angle_gamma 90.00
_space_group_name_H-M_alt 'P 1 2/m 1'
_space_group_IT_number 10
loop_
_space_group_symop_operation_xyz
'x,y,z'
'-x,-y,-z'
'-x,y,-z'
'x,-y,z'
loop_
_atom_site_label
_atom_site_type_symbol
_atom_site_fract_x
_atom_site_fract_y
_atom_site_fract_z
_atom_site_occupancy
Zn1 Zn 0.000 0.000 0.000 1
Cu1 Cu 0.500 0.000 0.500 1
Pt1 Pt 0.000 0.500 0.500 1
```

E_tot   -4.013 eV/atom
Offset from the most stable computed form   127 meV per atom
Density   10394 kg/m³
Total magnetic moment   0.000 μB per atom
DOS(E_F)   0.67 states/eV/f.u.
E_form   -0.210 eV/atom



6.
Crystalline Zn8Cu3Pt2 at its relaxed geometry, computed with GGA-PBE.

Geometry as CIF:
```
data_Zn8Cu3Pt2
_chemical_formula_sum 'Zn16 Cu6 Pt4'
_cell_length_a 11.136
_cell_length_b 7.220
_cell_length_c 5.050
_cell_angle_alpha 90.00
_cell_angle_beta 98.64
_cell_angle_gamma 90.00
_space_group_name_H-M_alt 'C 1 2/m 1'
_space_group_IT_number 12
loop_
_space_group_symop_operation_xyz
'x,y,z'
'-x,-y,-z'
'-x,y,-z'
'x,-y,z'
'x+1/2,y+1/2,z'
'-x+1/2,-y+1/2,-z'
'-x+1/2,y+1/2,-z'
'x+1/2,-y+1/2,z'
loop_
_atom_site_label
_atom_site_type_symbol
_atom_site_fract_x
_atom_site_fract_y
_atom_site_fract_z
_atom_site_occupancy
Zn1 Zn 0.090 0.000 0.382 1
Zn2 Zn 0.115 0.187 0.922 1
Zn3 Zn 0.195 0.500 0.318 1
Cu1 Cu 0.000 0.330 0.500 1
Cu2 Cu 0.000 0.500 0.000 1
Pt1 Pt 0.207 0.500 0.813 1
```

E_tot   -2.841 eV/atom
Density   9134 kg/m³
Total magnetic moment   0.000 μB per atom
DOS(E_F)   3.91 states/eV/f.u.
E_form   -0.183 eV/atom



7.
Crystalline Zn3Cu2Pt2 at its relaxed geometry, computed with GGA-PBE.

Geometry as CIF:
```
data_Zn3Cu2Pt2
_chemical_formula_sum 'Zn6 Cu4 Pt4'
_cell_length_a 7.322
_cell_length_b 4.242
_cell_length_c 7.207
_cell_angle_alpha 90.00
_cell_angle_beta 109.45
_cell_angle_gamma 90.00
_space_group_name_H-M_alt 'C 1 2/m 1'
_space_group_IT_number 12
loop_
_space_group_symop_operation_xyz
'x,y,z'
'-x,-y,-z'
'-x,y,-z'
'x,-y,z'
'x+1/2,y+1/2,z'
'-x+1/2,-y+1/2,-z'
'-x+1/2,y+1/2,-z'
'x+1/2,-y+1/2,z'
loop_
_atom_site_label
_atom_site_type_symbol
_atom_site_fract_x
_atom_site_fract_y
_atom_site_fract_z
_atom_site_occupancy
Zn1 Zn 0.000 0.000 0.000 1
Zn2 Zn 0.247 0.000 0.738 1
Cu1 Cu 0.124 0.000 0.374 1
Pt1 Pt 0.118 0.500 0.855 1
```

E_tot   -3.609 eV/atom
Density   11225 kg/m³
Total magnetic moment   0.000 μB per atom
DOS(E_F)   2.96 states/eV/f.u.
E_form   -0.167 eV/atom



8.
Crystalline ZnCuPt at its relaxed geometry, computed with GGA-PBE.

Geometry as CIF:
```
data_ZnCuPt
_chemical_formula_sum 'Zn2 Cu2 Pt2'
_cell_length_a 2.938
_cell_length_b 2.938
_cell_length_c 9.598
_cell_angle_alpha 90.00
_cell_angle_beta 90.00
_cell_angle_gamma 90.00
_space_group_name_H-M_alt 'I 4 m m'
_space_group_IT_number 107
_space_group_name_Hall 'I 4 -2'
loop_
_atom_site_label
_atom_site_type_symbol
_atom_site_fract_x
_atom_site_fract_y
_atom_site_fract_z
_atom_site_occupancy
Zn1 Zn 0.000 0.000 0.000 1
Cu1 Cu 0.000 0.000 0.656 1
Pt1 Pt 0.000 0.000 0.330 1
```

E_tot   -4.100 eV/atom
Offset from the most stable computed form   40 meV per atom
Density   12992 kg/m³
Total magnetic moment   0.000 μB per atom
DOS(E_F)   0.60 states/eV/f.u.
E_form   -0.297 eV/atom



9.
Crystalline Zn3Cu4Pt at its relaxed geometry, computed with GGA-PBE.

Geometry as CIF:
```
data_Zn3Cu4Pt
_chemical_formula_sum 'Zn6 Cu8 Pt2'
_cell_length_a 8.658
_cell_length_b 5.409
_cell_length_c 4.539
_cell_angle_alpha 90.00
_cell_angle_beta 90.00
_cell_angle_gamma 90.00
_space_group_name_H-M_alt 'P m m a'
_space_group_IT_number 51
loop_
_space_group_symop_operation_xyz
'x,y,z'
'-x,-y,-z'
'-x+1/2,-y,z'
'x+1/2,y,-z'
'x+1/2,-y,-z'
'-x+1/2,y,z'
'-x,y,-z'
'x,-y,z'
loop_
_atom_site_label
_atom_site_type_symbol
_atom_site_fract_x
_atom_site_fract_y
_atom_site_fract_z
_atom_site_occupancy
Zn1 Zn 0.000 0.000 0.000 1
Zn2 Zn 0.250 0.000 0.356 1
Zn3 Zn 0.250 0.500 0.347 1
Cu1 Cu 0.000 0.245 0.500 1
Cu2 Cu 0.250 0.246 0.842 1
Pt1 Pt 0.000 0.500 0.000 1
```

E_tot   -3.448 eV/atom
Density   10086 kg/m³
Total magnetic moment   0.000 μB per atom
DOS(E_F)   2.41 states/eV/f.u.
E_form   -0.167 eV/atom



10.
Crystalline Zn8CuPt4 at its relaxed geometry, computed with GGA-PBE.

Geometry as CIF:
```
data_Zn8CuPt4
_chemical_formula_sum 'Zn8 Cu1 Pt4'
_cell_length_a 2.806
_cell_length_b 4.356
_cell_length_c 15.942
_cell_angle_alpha 90.00
_cell_angle_beta 90.00
_cell_angle_gamma 90.00
_space_group_name_H-M_alt 'P m m 2'
_space_group_IT_number 25
loop_
_space_group_symop_operation_xyz
'x,y,z'
'-x,-y,z'
'-x,y,z'
'x,-y,z'
loop_
_atom_site_label
_atom_site_type_symbol
_atom_site_fract_x
_atom_site_fract_y
_atom_site_fract_z
_atom_site_occupancy
Zn1 Zn 0.000 0.000 0.000 1
Zn2 Zn 0.000 0.000 0.279 1
Zn3 Zn 0.000 0.500 0.166 1
Zn4 Zn 0.000 0.500 0.474 1
Zn5 Zn 0.500 0.000 0.426 1
Zn6 Zn 0.500 0.000 0.716 1
Zn7 Zn 0.500 0.500 0.628 1
Zn8 Zn 0.500 0.500 0.932 1
Cu1 Cu 0.500 0.000 0.865 1
Pt1 Pt 0.000 0.000 0.570 1
Pt2 Pt 0.000 0.500 0.780 1
Pt3 Pt 0.500 0.000 0.137 1
Pt4 Pt 0.500 0.500 0.328 1
```

E_tot   -3.319 eV/atom
Density   11651 kg/m³
Total magnetic moment   0.000 μB per atom
DOS(E_F)   2.93 states/eV/f.u.
E_form   -0.362 eV/atom



11.
Crystalline ZnCu2Pt at its relaxed geometry, computed with GGA-PBE.

Geometry as CIF:
```
data_ZnCu2Pt
_chemical_formula_sum 'Zn4 Cu8 Pt4'
_cell_length_a 6.005
_cell_length_b 6.005
_cell_length_c 6.005
_cell_angle_alpha 90.00
_cell_angle_beta 90.00
_cell_angle_gamma 90.00
_space_group_name_H-M_alt 'F -4 3 m'
_space_group_IT_number 216
_space_group_name_Hall 'F -4 2 3'
loop_
_atom_site_label
_atom_site_type_symbol
_atom_site_fract_x
_atom_site_fract_y
_atom_site_fract_z
_atom_site_occupancy
Zn1 Zn 0.000 0.000 0.000 1
Cu1 Cu 0.000 0.000 0.500 1
Cu2 Cu 0.250 0.250 0.250 1
Pt1 Pt 0.250 0.250 0.750 1
```

E_tot   -4.108 eV/atom
Density   11890 kg/m³
Total magnetic moment   0.000 μB per atom
DOS(E_F)   2.21 states/eV/f.u.
E_form   -0.231 eV/atom



12.
Crystalline Zn4Cu2Pt3 at its relaxed geometry, computed with GGA-PBE.

Geometry as CIF:
```
data_Zn4Cu2Pt3
_chemical_formula_sum 'Zn4 Cu2 Pt3'
_cell_length_a 3.937
_cell_length_b 4.636
_cell_length_c 8.036
_cell_angle_alpha 104.25
_cell_angle_beta 90.06
_cell_angle_gamma 114.96
_space_group_name_H-M_alt 'P -1'
_space_group_IT_number 2
loop_
_space_group_symop_operation_xyz
'x,y,z'
'-x,-y,-z'
loop_
_atom_site_label
_atom_site_type_symbol
_atom_site_fract_x
_atom_site_fract_y
_atom_site_fract_z
_atom_site_occupancy
Zn1 Zn 0.006 0.013 0.337 1
Zn2 Zn 0.335 0.669 0.105 1
Cu1 Cu 0.336 0.671 0.780 1
Pt1 Pt 0.000 0.000 0.000 1
Pt2 Pt 0.330 0.660 0.424 1
```

E_tot   -3.855 eV/atom
Density   12639 kg/m³
Total magnetic moment   0.000 μB per atom
DOS(E_F)   2.74 states/eV/f.u.
E_form   -0.365 eV/atom